Record 1
Li2SiTc after structural relaxation. Source: OQMD, functional PBE.

Cell: 4.124 4.124 4.124 Å, 60.00 60.00 60.00°
Atoms (fractional coordinates):
Li 0.000 0.000 0.000
Li 0.750 0.750 0.750
Si 0.500 0.500 0.500
Tc 0.250 0.250 0.250

Results
Total energy: -0.185 hartree per atom
SG: F-43m

***

Record 2
LiSiTcW after structural relaxation. Source: OQMD, functional PBE.

Cell: 4.240 4.240 4.240 Å, 60.00 60.00 60.00°
Atoms (fractional coordinates):
Li 0.750 0.750 0.750
Si 0.500 0.500 0.500
Tc 0.250 0.250 0.250
W 0.000 0.000 0.000

Results
Total energy: -0.290 hartree per atom
SG: F-43m
ΔE to the lowest computed polymorph: 0 meV/atom

***

Record 3
LiSiTcW after structural relaxation. Source: OQMD, functional PBE.

Cell: 4.213 4.213 4.213 Å, 60.00 60.00 60.00°
Atoms (fractional coordinates):
Li 0.750 0.750 0.750
Si 0.250 0.250 0.250
Tc 0.500 0.500 0.500
W 0.000 0.000 0.000

Results
Total energy: -0.275 hartree per atom
SG: F-43m
ΔE to the lowest computed polymorph: 404 meV/atom

***

Record 4
LiTmSi after structural relaxation. Source: OQMD, functional PBE.

Cell: 4.577 4.577 4.577 Å, 60.00 60.00 60.00°
Atoms (fractional coordinates):
Li 0.250 0.250 0.250
Si 0.000 0.000 0.000
Tm 0.750 0.750 0.750

Results
Total energy: -0.160 hartree per atom
SG: F-43m

***

Record 5
LiTmSi after structural relaxation. Source: OQMD, functional PBE.

Cell: 4.627 4.627 4.627 Å, 60.00 60.00 60.00°
Atoms (fractional coordinates):
Li 0.250 0.250 0.250
Si 0.750 0.750 0.750
Tm 0.000 0.000 0.000

Results
Total energy: -0.142 hartree per atom
SG: F-43m

***

Record 6
LiUSi after structural relaxation. Source: OQMD, functional PBE.

Cell: 4.608 4.608 4.608 Å, 60.00 60.00 60.00°
Atoms (fractional coordinates):
Li 0.250 0.250 0.250
Si 0.750 0.750 0.750
U 0.000 0.000 0.000

Results
Total energy: -0.202 hartree per atom
SG: F-43m

***

Record 7
LiUSi after structural relaxation. Source: OQMD, functional PBE.

Cell: 4.569 4.569 4.569 Å, 60.00 60.00 60.00°
Atoms (fractional coordinates):
Li 0.250 0.250 0.250
Si 0.000 0.000 0.000
U 0.750 0.750 0.750

Results
Total energy: -0.218 hartree per atom
SG: F-43m

***

Record 8
LiSi5W3 after structural relaxation. Source: OQMD, functional PBE.

Cell: 5.411 5.411 6.342 Å, 90.00 90.00 120.00°
Atoms (fractional coordinates):
Li 0.000 0.000 0.000
Si 0.667 0.333 0.181
Si 0.333 0.667 0.181
Si 0.000 0.000 0.500
Si 0.667 0.333 0.819
Si 0.333 0.667 0.819
W 0.500 0.000 0.500
W 0.000 0.500 0.500
W 0.500 0.500 0.500

Results
Total energy: -0.270 hartree per atom
SG: P6/mmm

***

Record 9
Li2SiW after structural relaxation. Source: OQMD, functional PBE.

Cell: 4.225 4.225 4.225 Å, 60.00 60.00 60.00°
Atoms (fractional coordinates):
Li 0.000 0.000 0.000
Li 0.750 0.750 0.750
Si 0.500 0.500 0.500
W 0.250 0.250 0.250

Results
Total energy: -0.194 hartree per atom
SG: F-43m

***

Record 10
LiZn2Si after structural relaxation. Source: OQMD, functional PBE.

Cell: 4.342 4.342 4.342 Å, 60.00 60.00 60.00°
Atoms (fractional coordinates):
Li 0.250 0.250 0.250
Si 0.500 0.500 0.500
Zn 0.000 0.000 0.000
Zn 0.750 0.750 0.750

Results
Total energy: -0.090 hartree per atom
SG: F-43m

***

Record 11
Li6ZnSi2 after structural relaxation. Source: OQMD, functional PBE.

Cell: 4.768 4.768 7.580 Å, 93.99 93.99 54.82°
Atoms (fractional coordinates):
Li 0.698 0.698 0.061
Li 0.483 0.483 0.286
Li 0.827 0.827 0.402
Li 0.173 0.173 0.598
Li 0.517 0.517 0.714
Li 0.302 0.302 0.939
Si 0.168 0.168 0.259
Si 0.832 0.832 0.741
Zn 0.000 0.000 0.000

Results
Total energy: -0.104 hartree per atom
SG: C2/m

***

Record 12
LiZnSi after structural relaxation. Source: OQMD, functional PBE.

Cell: 4.112 4.112 4.112 Å, 60.00 60.00 60.00°
Atoms (fractional coordinates):
Li 0.250 0.250 0.250
Si 0.000 0.000 0.000
Zn 0.750 0.750 0.750

Results
Total energy: -0.107 hartree per atom
SG: F-43m

***

What is the formula in the tenth record? LiZn2Si

***

Which formula does entry 7 have? LiUSi